No. 1
Compound: TbHo2Ga
Source: Alexandria via LeMat-Bulk
Functional: PBE
Structure: optimized geometry

Calculated values
Formation enthalpy at 0 K in eV per atom: -0.28
Fermi-level density of states in states/eV/cell: 3.9
Total magnetic moment in μB/f.u.: 0.000
Raw total energy in eV/atom: -4.4844
Distance to the lowest polymorph of the same formula in meV per atom: 0

```
4
Lattice="3.5085 0.0000 0.0000 0.0000 3.5085 0.0000 0.0000 0.0000 8.8588" Properties=species:S:1:pos:R:3 pbc="T T T"
Tb 0.0000 0.0000 0.0000
Ho 1.7543 1.7543 2.5766
Ho 1.7543 1.7543 6.2823
Ga 0.0000 0.0000 4.4294
```

***

No. 2
Compound: Tb4HoGa
Source: Alexandria via LeMat-Bulk
Functional: PBE
Structure: optimized geometry

Calculated values
Formation enthalpy at 0 K in eV per atom: -0.10
Fermi-level density of states in states/eV/cell: 15.4
Total magnetic moment in μB/f.u.: 0.000
Raw total energy in eV/atom: -4.4558

```
12
Lattice="4.3871 -6.7682 0.0000 4.3871 6.7682 0.0000 -1.9741 0.0000 5.9552" Properties=species:S:1:pos:R:3 pbc="T T T"
Tb 1.6254 4.3046 5.6820
Tb 1.2122 1.5410 3.7033
Tb 4.1876 4.3046 3.2508
Tb 2.1993 -1.5410 0.7257
Tb 4.6008 1.5410 5.2295
Tb 2.6125 -4.3046 2.7044
Tb 5.5878 -1.5410 2.2519
Tb 5.1747 -4.3046 0.2732
Ho 3.8936 1.2815 1.4888
Ho 2.9065 -1.2815 4.4664
Ga 3.8936 -6.7633 1.4888
Ga 2.9065 6.7633 4.4664
```

***

- The highest raw total energy belongs to which entry?
  Tb4HoGa

***

- What is the formula in the second record?
  Tb4HoGa